No. 1
Computed, not measured: a geometry-optimized AlNi2Br structure at the GGA-PBE level of DFT.

Excess energy over the best structure of this formula in the dataset ... 0.1536 eV per atom

```
data_AlNi2Br
_cell_length_a 7.2243
_cell_length_b 3.2153
_cell_length_c 5.6291
_cell_angle_alpha 90.00
_cell_angle_beta 100.78
_cell_angle_gamma 90.00
_symmetry_space_group_name_H-M 'C 1 2/m 1'
_symmetry_Int_Tables_number 12
loop_
_symmetry_equiv_pos_as_xyz
'x,y,z'
'-x,-y,-z'
'-x,y,-z'
'x,-y,z'
'x+1/2,y+1/2,z'
'-x+1/2,-y+1/2,-z'
'-x+1/2,y+1/2,-z'
'x+1/2,-y+1/2,z'
loop_
_atom_site_label
_atom_site_type_symbol
_atom_site_fract_x
_atom_site_fract_y
_atom_site_fract_z
Al1 Al 0.0000 0.0000 0.0000
Ni1 Ni 0.2297 0.5000 0.1796
Br1 Br 0.0000 0.5000 0.5000
```

=====

No. 2
Computed, not measured: a geometry-optimized AlNi2Br structure at the GGA-PBE level of DFT.

Excess energy over the best structure of this formula in the dataset ... 0.3999 eV per atom

```
data_AlNi2Br
_cell_length_a 5.9914
_cell_length_b 6.0048
_cell_length_c 3.1747
_cell_angle_alpha 90.00
_cell_angle_beta 90.00
_cell_angle_gamma 90.00
_symmetry_space_group_name_H-M 'C m m m'
_symmetry_Int_Tables_number 65
_symmetry_space_group_name_Hall '-C 2 2'
loop_
_atom_site_label
_atom_site_type_symbol
_atom_site_fract_x
_atom_site_fract_y
_atom_site_fract_z
Al1 Al 0.0000 0.0000 0.0000
Ni1 Ni 0.2500 0.2500 0.5000
Br1 Br 0.0000 0.5000 0.0000
```

=====

No. 3
Computed, not measured: a geometry-optimized AlNiBr2 structure at the GGA-PBE level of DFT.

Excess energy over the best structure of this formula in the dataset ... 0.1690 eV per atom

```
data_AlNiBr2
_cell_length_a 3.2483
_cell_length_b 8.2110
_cell_length_c 9.1561
_cell_angle_alpha 90.00
_cell_angle_beta 90.00
_cell_angle_gamma 90.00
_symmetry_space_group_name_H-M 'I m m 2'
_symmetry_Int_Tables_number 44
loop_
_symmetry_equiv_pos_as_xyz
'x,y,z'
'-x,-y,z'
'-x,y,z'
'x,-y,z'
'x+1/2,y+1/2,z+1/2'
'-x+1/2,-y+1/2,z+1/2'
'-x+1/2,y+1/2,z+1/2'
'x+1/2,-y+1/2,z+1/2'
loop_
_atom_site_label
_atom_site_type_symbol
_atom_site_fract_x
_atom_site_fract_y
_atom_site_fract_z
Al1 Al 0.0000 0.0000 0.0000
Ni1 Ni 0.0000 0.5000 0.3029
Br1 Br 0.0000 0.0000 0.6140
Br2 Br 0.0000 0.5000 0.7081
```

=====

No. 4
Computed, not measured: a geometry-optimized AlNiBr2 structure at the GGA-PBE level of DFT.

Excess energy over the best structure of this formula in the dataset ... 0.1859 eV per atom

```
data_AlNiBr2
_cell_length_a 3.5677
_cell_length_b 3.5677
_cell_length_c 7.8824
_cell_angle_alpha 90.00
_cell_angle_beta 90.00
_cell_angle_gamma 90.00
_symmetry_space_group_name_H-M 'P 4 m m'
_symmetry_Int_Tables_number 99
loop_
_symmetry_equiv_pos_as_xyz
'x,y,z'
'-y,x,z'
'-x,-y,z'
'y,-x,z'
'-x,y,z'
'y,x,z'
'x,-y,z'
'-y,-x,z'
loop_
_atom_site_label
_atom_site_type_symbol
_atom_site_fract_x
_atom_site_fract_y
_atom_site_fract_z
Al1 Al 0.0000 0.0000 0.0000
Ni1 Ni 0.5000 0.5000 0.0028
Br1 Br 0.0000 0.0000 0.7008
Br2 Br 0.5000 0.5000 0.2840
```

=====

No. 5
Computed, not measured: a geometry-optimized AlNiBr2 structure at the GGA-PBE level of DFT.

Excess energy over the best structure of this formula in the dataset ... 0.8467 eV per atom

```
data_AlNiBr2
_cell_length_a 6.9025
_cell_length_b 6.9025
_cell_length_c 6.9025
_cell_angle_alpha 90.00
_cell_angle_beta 90.00
_cell_angle_gamma 90.00
_symmetry_space_group_name_H-M 'F -4 3 m'
_symmetry_Int_Tables_number 216
_symmetry_space_group_name_Hall 'F -4 2 3'
loop_
_atom_site_label
_atom_site_type_symbol
_atom_site_fract_x
_atom_site_fract_y
_atom_site_fract_z
Al1 Al 0.0000 0.0000 0.0000
Ni1 Ni 0.2500 0.2500 0.2500
Br1 Br 0.0000 0.0000 0.5000
Br2 Br 0.2500 0.2500 0.7500
```

=====

No. 6
Computed, not measured: a geometry-optimized AlNiBr2 structure at the GGA-PBE level of DFT.

Excess energy over the best structure of this formula in the dataset ... 0.5503 eV per atom

```
data_AlNiBr2
_cell_length_a 3.8256
_cell_length_b 3.8256
_cell_length_c 12.7522
_cell_angle_alpha 90.00
_cell_angle_beta 90.00
_cell_angle_gamma 90.00
_symmetry_space_group_name_H-M 'I -4 m 2'
_symmetry_Int_Tables_number 119
_symmetry_space_group_name_Hall 'I -4 -2'
loop_
_atom_site_label
_atom_site_type_symbol
_atom_site_fract_x
_atom_site_fract_y
_atom_site_fract_z
Al1 Al 0.0000 0.0000 0.0000
Ni1 Ni 0.0000 0.5000 0.2500
Br1 Br 0.0000 0.0000 0.5000
Br2 Br 0.0000 0.5000 0.7500
```

=====

No. 7
Computed, not measured: a geometry-optimized AlNiBr2 structure at the GGA-PBE level of DFT.

Excess energy over the best structure of this formula in the dataset ... 0.5362 eV per atom

```
data_AlNiBr2
_cell_length_a 3.4702
_cell_length_b 4.0368
_cell_length_c 6.2712
_cell_angle_alpha 90.00
_cell_angle_beta 90.00
_cell_angle_gamma 90.00
_symmetry_space_group_name_H-M 'P m m m'
_symmetry_Int_Tables_number 47
loop_
_symmetry_equiv_pos_as_xyz
'x,y,z'
'-x,-y,-z'
'-x,-y,z'
'x,y,-z'
'x,-y,-z'
'-x,y,z'
'-x,y,-z'
'x,-y,z'
loop_
_atom_site_label
_atom_site_type_symbol
_atom_site_fract_x
_atom_site_fract_y
_atom_site_fract_z
Al1 Al 0.0000 0.0000 0.0000
Ni1 Ni 0.5000 0.0000 0.5000
Br1 Br 0.0000 0.5000 0.5000
Br2 Br 0.5000 0.5000 0.0000
```

=====

No. 8
Computed, not measured: a geometry-optimized AlNiBr2 structure at the GGA-PBE level of DFT.

Excess energy over the best structure of this formula in the dataset ... 0.0000 eV per atom

```
data_AlNiBr2
_cell_length_a 3.6308
_cell_length_b 3.4291
_cell_length_c 7.7101
_cell_angle_alpha 90.00
_cell_angle_beta 101.08
_cell_angle_gamma 90.00
_symmetry_space_group_name_H-M 'P 1 m 1'
_symmetry_Int_Tables_number 6
loop_
_symmetry_equiv_pos_as_xyz
'x,y,z'
'x,-y,z'
loop_
_atom_site_label
_atom_site_type_symbol
_atom_site_fract_x
_atom_site_fract_y
_atom_site_fract_z
Al1 Al 0.0000 0.0000 0.0000
Ni1 Ni 0.5282 0.5000 0.0528
Br1 Br 0.2530 0.5000 0.7483
Br2 Br 0.5705 0.0000 0.2890
```

=====

No. 9
Computed, not measured: a geometry-optimized AlNi2Br structure at the GGA-PBE level of DFT.

Excess energy over the best structure of this formula in the dataset ... 0.0096 eV per atom

```
data_AlNi2Br
_cell_length_a 3.6920
_cell_length_b 3.2317
_cell_length_c 5.9738
_cell_angle_alpha 90.00
_cell_angle_beta 90.26
_cell_angle_gamma 90.00
_symmetry_space_group_name_H-M 'P 1 m 1'
_symmetry_Int_Tables_number 6
loop_
_symmetry_equiv_pos_as_xyz
'x,y,z'
'x,-y,z'
loop_
_atom_site_label
_atom_site_type_symbol
_atom_site_fract_x
_atom_site_fract_y
_atom_site_fract_z
Al1 Al 0.0000 0.0000 0.0000
Ni1 Ni 0.5000 0.5000 0.9421
Ni2 Ni 0.5014 0.0000 0.2528
Br1 Br 0.4925 0.5000 0.5389
```

=====

No. 10
Computed, not measured: a geometry-optimized AlNiBr2 structure at the GGA-PBE level of DFT.

Excess energy over the best structure of this formula in the dataset ... 0.3352 eV per atom

```
data_AlNiBr2
_cell_length_a 3.6200
_cell_length_b 3.6200
_cell_length_c 24.4577
_cell_angle_alpha 90.00
_cell_angle_beta 90.00
_cell_angle_gamma 120.00
_symmetry_space_group_name_H-M 'R -3 m'
_symmetry_Int_Tables_number 166
_symmetry_space_group_name_Hall '-R 3 2"'
loop_
_atom_site_label
_atom_site_type_symbol
_atom_site_fract_x
_atom_site_fract_y
_atom_site_fract_z
Al1 Al 0.0000 0.0000 0.0000
Ni1 Ni 0.0000 0.0000 0.5000
Br1 Br 0.0000 0.0000 0.2267
```

=====

No. 11
Computed, not measured: a geometry-optimized AlNiBr structure at the GGA-PBE level of DFT.

Excess energy over the best structure of this formula in the dataset ... 0.1607 eV per atom

```
data_AlNiBr
_cell_length_a 3.2283
_cell_length_b 3.2283
_cell_length_c 11.2167
_cell_angle_alpha 90.00
_cell_angle_beta 90.00
_cell_angle_gamma 90.00
_symmetry_space_group_name_H-M 'I 4 m m'
_symmetry_Int_Tables_number 107
_symmetry_space_group_name_Hall 'I 4 -2'
loop_
_atom_site_label
_atom_site_type_symbol
_atom_site_fract_x
_atom_site_fract_y
_atom_site_fract_z
Al1 Al 0.0000 0.0000 0.0000
Ni1 Ni 0.0000 0.0000 0.4201
Br1 Br 0.0000 0.0000 0.7652
```

=====

No. 12
Computed, not measured: a geometry-optimized AlNi2Br structure at the GGA-PBE level of DFT.

Excess energy over the best structure of this formula in the dataset ... 0.6143 eV per atom

```
data_AlNi2Br
_cell_length_a 6.1893
_cell_length_b 6.1893
_cell_length_c 6.1893
_cell_angle_alpha 90.00
_cell_angle_beta 90.00
_cell_angle_gamma 90.00
_symmetry_space_group_name_H-M 'F -4 3 m'
_symmetry_Int_Tables_number 216
_symmetry_space_group_name_Hall 'F -4 2 3'
loop_
_atom_site_label
_atom_site_type_symbol
_atom_site_fract_x
_atom_site_fract_y
_atom_site_fract_z
Al1 Al 0.0000 0.0000 0.0000
Ni1 Ni 0.0000 0.0000 0.5000
Ni2 Ni 0.2500 0.2500 0.7500
Br1 Br 0.2500 0.2500 0.2500
```